# 1
! CeNdPt | Alexandria | PBE | optimized geometry; values from VASP
! symmetry = Ima2
! calculated formation energy = -0.738 eV per atom
! E above lowest polymorph = 1 meV/atom
&SYSTEM
  ibrav = 0, nat = 18, ntyp = 3
/
ATOMIC_SPECIES
Ce 140.12 Ce.upf
Nd 144.24 Nd.upf
Pt 195.08 Pt.upf
CELL_PARAMETERS angstrom
-5.243 -0.073 5.382
-8.173 -2.458 -2.749
-2.745 -8.174 2.461
ATOMIC_POSITIONS crystal
Ce 0.498 0.151 0.112
Ce 0.761 0.849 0.888
Ce 0.999 0.000 0.000
Ce 0.999 0.500 0.500
Ce 0.761 0.388 0.349
Ce 0.498 0.612 0.651
Nd 0.335 0.756 0.256
Nd 0.759 0.448 0.948
Nd 0.347 0.244 0.744
Nd 0.187 0.034 0.534
Nd 0.755 0.966 0.466
Nd 0.156 0.552 0.052
Pt 0.418 0.843 0.831
Pt 0.774 0.218 0.718
Pt 0.092 0.157 0.169
Pt 0.092 0.669 0.657
Pt 0.418 0.331 0.343
Pt 0.711 0.782 0.282

# 2
! RbHgBrF2 | Alexandria | PBE | optimized geometry; values from VASP
! formation energy without anion corrections = -1.655 eV/atom
! symmetry = P2_1/m
! E above lowest polymorph = 0 meV/atom
&SYSTEM
  ibrav = 0, nat = 10, ntyp = 4
/
ATOMIC_SPECIES
Rb 85.47 Rb.upf
F 19.00 F.upf
Br 79.90 Br.upf
Hg 200.59 Hg.upf
CELL_PARAMETERS angstrom
-3.215 0.797 3.685
-5.309 -0.110 -4.609
-0.966 -8.168 0.924
ATOMIC_POSITIONS crystal
Rb 0.250 0.803 0.387
Rb 0.750 0.197 0.613
F 0.250 0.034 0.088
F 0.750 0.963 0.347
F 0.750 0.966 0.912
F 0.250 0.037 0.653
Br 0.250 0.517 0.775
Br 0.750 0.483 0.225
Hg 0.750 0.155 0.116
Hg 0.250 0.845 0.884

Fermi-level density of states? In order: 2.010 0.000 states/eV/atom.